## BaPN2 (PBE)

Data for an optimized crystal structure of BaPN2.

Results
**Density**: 5.81 g cm⁻³
**Magnetization**: 0.00 μB per atom
**Energy**: -99.54 eV for the cell shown

```
data_BaPN2
_chemical_formula_sum 'Ba4 P4 N8'
_symmetry_space_group_name_H-M 'I -4 2 d'
_symmetry_Int_Tables_number 122
_symmetry_space_group_name_Hall 'I -4 2bw'
_cell_length_a 5.706
_cell_length_b 5.706
_cell_length_c 6.890
_cell_angle_alpha 90.00
_cell_angle_beta 90.00
_cell_angle_gamma 90.00
loop_
_atom_site_label
_atom_site_type_symbol
_atom_site_fract_x
_atom_site_fract_y
_atom_site_fract_z
_atom_site_occupancy
Ba1 Ba 0.000 0.000 0.000 1
P1 P 0.000 0.000 0.500 1
N1 N 0.087 0.750 0.625 1
```

---

## Ba3PN (PBE)

Data for an optimized crystal structure of Ba3PN.

Results
**Density**: 4.70 g cm⁻³
**Magnetization**: 0.00 μB per atom
**Energy**: -22.33 eV for the cell shown

```
data_Ba3PN
_chemical_formula_sum 'Ba3 P1 N1'
_symmetry_space_group_name_H-M 'P m -3 m'
_symmetry_Int_Tables_number 221
_symmetry_space_group_name_Hall '-P 4 2 3'
_cell_length_a 5.447
_cell_length_b 5.447
_cell_length_c 5.447
_cell_angle_alpha 90.00
_cell_angle_beta 90.00
_cell_angle_gamma 90.00
loop_
_atom_site_label
_atom_site_type_symbol
_atom_site_fract_x
_atom_site_fract_y
_atom_site_fract_z
_atom_site_occupancy
Ba1 Ba 0.000 0.000 0.500 1
P1 P 0.500 0.500 0.500 1
N1 N 0.000 0.000 0.000 1
```

---

## Ba7PN2 (PBE)

Data for an optimized crystal structure of Ba7PN2.

Results
**Density**: 3.52 g cm⁻³
**Magnetization**: 0.20 μB per atom
**Energy**: -78.72 eV for the cell shown

```
data_Ba7PN2
_chemical_formula_sum 'Ba14 P2 N4'
_symmetry_space_group_name_H-M 'C m m m'
_symmetry_Int_Tables_number 65
_symmetry_space_group_name_Hall '-C 2 2'
_cell_length_a 11.998
_cell_length_b 19.083
_cell_length_c 4.199
_cell_angle_alpha 90.00
_cell_angle_beta 90.00
_cell_angle_gamma 90.00
loop_
_atom_site_label
_atom_site_type_symbol
_atom_site_fract_x
_atom_site_fract_y
_atom_site_fract_z
_atom_site_occupancy
Ba1 Ba 0.000 0.000 0.000 1
Ba2 Ba 0.000 0.229 0.500 1
Ba3 Ba 0.149 0.399 0.000 1
P1 P 0.000 0.500 0.500 1
N1 N 0.000 0.308 0.000 1
```